# 1
Here is an optimized crystal structure of Ba2Ni2Hg from Alexandria. Energies are from PBE.

The structure in POSCAR format:
```
Ba2Ni2Hg
1.0
7.8996 0.0000 0.0000
0.0000 7.8996 0.0000
0.0000 0.0000 4.4269
Ba Ni Hg
4 4 2
Direct
0.3180 0.1820 0.5000
0.6820 0.8180 0.5000
0.1820 0.6820 0.5000
0.8180 0.3180 0.5000
0.8958 0.6042 0.0000
0.1042 0.3958 0.0000
0.3958 0.8958 0.0000
0.6042 0.1042 0.0000
0.5000 0.5000 0.0000
0.0000 0.0000 0.0000
```

# 2
Here is an optimized crystal structure of BaNiHg2 from Alexandria. Energies are from PBE.

The structure in POSCAR format:
```
BaNiHg2
1.0
-2.6583 -0.2273 4.5944
0.0965 -5.3072 -0.2256
4.5380 2.7464 -0.3009
Hg Ba Ni
2 1 1
Direct
0.2500 0.7500 0.5000
0.0000 0.0000 0.0000
0.7500 0.2500 0.5000
0.5000 0.5000 0.0000
```

# 3
Here is an optimized crystal structure of BaNiHg2 from Alexandria. Energies are from PBE.

The structure in POSCAR format:
```
BaNiHg2
1.0
4.4311 0.0000 0.0000
0.0000 5.2654 -0.1624
0.0000 2.0298 4.7473
Hg Ba Ni
2 1 1
Direct
0.0000 0.4238 0.4230
0.0000 0.0762 0.0770
0.5000 0.7500 0.7500
0.5000 0.2500 0.2500
```

# 4
Here is an optimized crystal structure of BaNiHg from Alexandria. Energies are from PBE.

The structure in POSCAR format:
```
BaNiHg
1.0
-1.3899 5.1474 -0.2020
-4.7321 1.5624 1.9066
-0.2507 2.8738 4.4886
Ba Ni Hg
1 1 1
Direct
0.7500 0.7500 0.7500
0.5000 0.5000 0.5000
0.0000 0.0000 0.0000
```

# 5
Here is an optimized crystal structure of BaNiHg2 from Alexandria. Energies are from PBE.

The structure in POSCAR format:
```
BaNiHg2
1.0
5.5181 0.0000 0.0000
0.0000 5.5181 0.0000
2.7591 2.7591 8.6093
Hg Ba Ni
4 2 2
Direct
0.3750 0.5576 0.7500
0.3076 0.6250 0.2500
0.8750 0.6924 0.7500
0.4424 0.1250 0.2500
0.0000 0.0000 0.0000
0.7500 0.2500 0.5000
0.5000 0.5000 0.0000
0.2500 0.7500 0.5000
```

# 6
Here is an optimized crystal structure of BaNiHg2 from Alexandria. Energies are from PBE.

The structure in POSCAR format:
```
BaNiHg2
1.0
-1.8175 -1.5958 -5.9086
0.7903 -4.9753 -3.9223
-3.7195 -4.4445 -2.6784
Ba Hg Ni
1 2 1
Direct
0.7573 0.7573 0.7573
0.9595 0.9595 0.9595
0.2176 0.2176 0.2176
0.5657 0.5657 0.5657
```

# 7
Here is an optimized crystal structure of BaNiHg from Alexandria. Energies are from PBE.

The structure in POSCAR format:
```
BaNiHg
1.0
-4.1442 2.3666 -1.9451
-3.8714 1.3852 3.1067
-0.8338 4.9836 1.0131
Ba Ni Hg
1 1 1
Direct
0.5000 0.5000 0.5000
0.0000 0.0000 0.0000
0.7500 0.7500 0.7500
```

# 8
Here is an optimized crystal structure of BaNiHg2 from Alexandria. Energies are from PBE.

The structure in POSCAR format:
```
BaNiHg2
1.0
5.9136 0.0089 -0.0164
1.8272 5.6242 0.0164
-3.1589 -3.7943 3.2551
Ba Hg Ni
1 2 1
Direct
0.2500 0.7500 0.5000
0.9446 0.9446 0.0000
0.5554 0.5554 0.0000
0.7500 0.2500 0.5000
```

# 9
Here is an optimized crystal structure of BaNiHg2 from Alexandria. Energies are from PBE.

The structure in POSCAR format:
```
BaNiHg2
1.0
-4.5897 4.3968 -1.2509
-5.6149 1.9626 2.5656
-2.4330 5.3366 2.7501
Hg Ba Ni
2 1 1
Direct
0.9573 0.9573 0.9573
0.5427 0.5427 0.5427
0.7500 0.7500 0.7500
0.2500 0.2500 0.2500
```

# 10
Here is an optimized crystal structure of Ba2Ni2Hg from Alexandria. Energies are from PBE.

The structure in POSCAR format:
```
Ba2Ni2Hg
1.0
-6.0889 -0.1125 -0.1425
0.1814 -3.6293 -4.8891
-2.9503 -4.9800 -0.2077
Ni Hg Ba
2 1 2
Direct
0.6554 0.6554 0.6892
0.3446 0.3446 0.3108
0.0000 0.0000 0.0000
0.2500 0.7500 0.5000
0.7500 0.2500 0.5000
```

# 11
Here is an optimized crystal structure of BaNiHg2 from Alexandria. Energies are from PBE.

The structure in POSCAR format:
```
BaNiHg2
1.0
-3.6686 0.5279 4.4405
-2.0328 -5.2383 1.3721
5.4006 1.9307 -0.7492
Hg Ba Ni
2 1 1
Direct
0.0000 0.0000 0.0000
0.5000 0.5000 0.0000
0.7500 0.2500 0.5000
0.2500 0.7500 0.5000
```

# 12
Here is an optimized crystal structure of BaNiHg2 from Alexandria. Energies are from PBE.

The structure in POSCAR format:
```
BaNiHg2
1.0
3.6015 0.0000 0.0000
0.0000 3.6034 0.0000
0.0000 0.0000 7.6135
Hg Ni Ba
2 1 1
Direct
0.0000 0.0000 0.0630
0.0000 0.0000 0.4370
0.5000 0.5000 0.2500
0.5000 0.5000 0.7500
```

# 13
Here is an optimized crystal structure of BaNiHg2 from Alexandria. Energies are from PBE.

The structure in POSCAR format:
```
BaNiHg2
1.0
-3.9272 -2.0015 -0.6810
2.3404 -1.9182 5.8125
-2.0647 2.3254 3.2047
Ba Hg Ni
1 2 1
Direct
0.5000 0.5000 0.0000
0.5000 0.0000 0.5000
0.0000 0.0000 0.0000
0.0000 0.5000 0.5000
```

# 14
Here is an optimized crystal structure of BaNiHg2 from Alexandria. Energies are from PBE.

The structure in POSCAR format:
```
BaNiHg2
1.0
-2.5590 1.9336 -1.9150
-2.7090 -1.5479 2.0571
0.5425 5.5954 4.9247
Hg Ba Ni
2 1 1
Direct
0.0000 0.0000 0.0522
0.5000 0.5000 0.3029
0.5000 0.5000 0.7324
0.0000 0.0000 0.4125
```

# 15
Here is an optimized crystal structure of BaNiHg2 from Alexandria. Energies are from PBE.

The structure in POSCAR format:
```
BaNiHg2
1.0
-3.2588 3.7401 2.5520
-1.0258 -3.5860 4.1484
5.0215 1.8684 -1.5538
Hg Ba Ni
2 1 1
Direct
0.6809 0.1809 0.5000
0.9533 0.9533 0.0000
0.2438 0.7438 0.5000
0.6219 0.6219 0.0000
```

# 16
Here is an optimized crystal structure of Ba3NiHg from Alexandria. Energies are from PBE.

The structure in POSCAR format:
```
Ba3NiHg
1.0
4.3651 -0.0001 -0.0002
-2.1826 9.8030 0.5012
0.0002 0.9688 10.0698
Ba Ni Hg
6 2 2
Direct
0.2520 0.5369 0.9973
0.4127 0.8584 0.6719
0.6313 0.2957 0.7497
0.9670 0.9672 0.0534
0.0769 0.1869 0.3682
0.7920 0.6171 0.4243
0.7856 0.6043 0.7365
0.2583 0.5497 0.6850
0.4368 0.9067 0.3222
0.6072 0.2474 0.0994
```

# 17
Here is an optimized crystal structure of Ba8NiHg2 from Alexandria. Energies are from PBE.

The structure in POSCAR format:
```
Ba8NiHg2
1.0
-7.3729 -1.2832 2.6679
-1.3806 -8.7428 -1.1384
1.0667 -3.9894 7.9111
Ba Hg Ni
8 2 1
Direct
0.7626 0.3414 0.9408
0.2374 0.6586 0.0592
0.7796 0.4205 0.4205
0.2204 0.5795 0.5795
0.2374 0.0592 0.6586
0.7626 0.9408 0.3414
0.7504 0.8717 0.8717
0.2496 0.1283 0.1283
0.4423 0.3173 0.3173
0.5577 0.6827 0.6827
0.0000 0.0000 0.0000
```

# 18
Here is an optimized crystal structure of Ba2NiHg2 from Alexandria. Energies are from PBE.

The structure in POSCAR format:
```
Ba2NiHg2
1.0
7.7779 0.0000 0.0000
0.0000 7.7779 0.0000
0.0000 0.0000 5.2485
Ba Hg Ni
4 4 2
Direct
0.3237 0.1763 0.5000
0.1763 0.6763 0.5000
0.8237 0.3237 0.5000
0.6763 0.8237 0.5000
0.8599 0.6401 0.0000
0.3599 0.8599 0.0000
0.6401 0.1401 0.0000
0.1401 0.3599 0.0000
0.5000 0.5000 0.0000
0.0000 0.0000 0.0000
```

# 19
Here is an optimized crystal structure of BaNiHg from Alexandria. Energies are from PBE.

The structure in POSCAR format:
```
BaNiHg
1.0
6.2256 0.0073 -0.0078
5.1129 3.5514 0.0611
1.1127 0.2807 3.5336
Ni Ba Hg
1 1 1
Direct
0.7090 0.7090 0.2910
0.0020 0.0020 0.9980
0.2890 0.2890 0.7110
```

# 20
Here is an optimized crystal structure of Ba2Ni2Hg from Alexandria. Energies are from PBE.

The structure in POSCAR format:
```
Ba2Ni2Hg
1.0
3.6782 0.0000 0.0000
0.0000 3.6782 0.0000
1.8391 1.8391 10.0495
Ni Ba Hg
2 2 1
Direct
0.2500 0.7500 0.5000
0.7500 0.2500 0.5000
0.3736 0.3736 0.2529
0.6264 0.6264 0.7471
0.0000 0.0000 0.0000
```

# 21
Here is an optimized crystal structure of Ba3NiHg from Alexandria. Energies are from PBE.

The structure in POSCAR format:
```
Ba3NiHg
1.0
-1.3080 5.3989 -2.3087
1.6517 -1.9315 -5.4526
-5.6348 -1.8195 -1.0623
Ba Ni Hg
3 1 1
Direct
0.0000 0.5000 0.0000
0.0000 0.0000 0.5000
0.5000 0.0000 0.0000
0.0000 0.0000 0.0000
0.5000 0.5000 0.5000
```

# 22
Here is an optimized crystal structure of Ba8Ni2Hg from Alexandria. Energies are from PBE.

The structure in POSCAR format:
```
Ba8Ni2Hg
1.0
6.6946 0.0001 0.0003
-0.0012 8.7772 -5.0701
0.0010 -0.0067 10.1347
Ni Ba Hg
2 8 1
Direct
0.2526 0.3333 0.6668
0.7474 0.6667 0.3332
0.2553 0.1683 0.3380
0.7448 0.8302 0.1681
0.2552 0.1698 0.8319
0.7550 0.3333 0.6667
0.7447 0.3380 0.1700
0.2450 0.6667 0.3332
0.2553 0.6620 0.8300
0.7447 0.8317 0.6620
0.0000 0.0000 0.0000
```

# 23
Here is an optimized crystal structure of BaNi3Hg from Alexandria. Energies are from PBE.

The structure in POSCAR format:
```
BaNi3Hg
1.0
4.9612 0.0000 0.0000
0.0000 4.9612 0.0000
0.0000 0.0000 4.9612
Hg Ba Ni
1 1 3
Direct
0.5000 0.5000 0.5000
0.0000 0.0000 0.0000
0.5000 0.0000 0.0000
0.0000 0.0000 0.5000
0.0000 0.5000 0.0000
```

# 24
Here is an optimized crystal structure of Ba4NiHg2 from Alexandria. Energies are from PBE.

The structure in POSCAR format:
```
Ba4NiHg2
1.0
5.8943 0.0000 0.0000
0.0000 5.8943 0.0000
2.9472 2.9472 8.8282
Hg Ba Ni
2 4 1
Direct
0.3787 0.3787 0.2427
0.6213 0.6213 0.7573
0.5000 0.0000 0.0000
0.0000 0.5000 0.0000
0.1807 0.1807 0.6386
0.8193 0.8193 0.3614
0.0000 0.0000 0.0000
```

# 25
Here is an optimized crystal structure of BaNiHg from Alexandria. Energies are from PBE.

The structure in POSCAR format:
```
BaNiHg
1.0
4.6086 0.0000 0.0000
-2.3043 3.9911 0.0000
0.0000 0.0000 4.6232
Hg Ni Ba
1 1 1
Direct
0.6667 0.3333 0.4998
0.3333 0.6667 0.5004
0.0000 0.0000 0.9998
```

# 26
Here is an optimized crystal structure of BaNiHg from Alexandria. Energies are from PBE.

The structure in POSCAR format:
```
BaNiHg
1.0
4.2775 -0.1067 0.2784
0.1603 5.8822 -0.2562
1.7411 1.4028 6.7109
Ba Hg Ni
2 2 2
Direct
0.3837 0.6858 0.7327
0.6163 0.3142 0.2673
0.1045 0.7970 0.2917
0.8955 0.2030 0.7083
0.7242 0.9039 0.0519
0.2758 0.0961 0.9481
```

# 27
Here is an optimized crystal structure of BaNiHg from Alexandria. Energies are from PBE.

The structure in POSCAR format:
```
BaNiHg
1.0
-1.2945 4.8173 0.0834
-4.4259 1.3619 1.8564
-0.2382 2.4441 4.3426
Hg Ni Ba
1 1 1
Direct
0.5000 0.5000 0.5000
0.7500 0.7500 0.7500
0.0000 0.0000 0.0000
```

# 28
Here is an optimized crystal structure of BaNiHg2 from Alexandria. Energies are from PBE.

The structure in POSCAR format:
```
BaNiHg2
1.0
4.4936 0.0000 0.0000
0.0000 4.2088 -0.0042
0.0000 2.0413 6.0822
Ba Ni Hg
1 1 2
Direct
0.5000 0.7224 0.6895
0.0000 0.3417 0.4477
0.0000 0.9978 0.1224
0.5000 0.4380 0.2403
```

Quick rundown of calculated formation energy, same order as above: -18, 44, -119, 424, -40, -165, 251, -68, -159, 31, 35, -8, 177, -14, -72, -201, -156, -55, 21, 95, -71, 84, 1609, -176, -163, -227, -20, -34 meV/atom